Computed, not measured: crystalline Zn2PRu at its relaxed geometry at the PBE-GGA level of DFT.

Geometry as extended XYZ:
```
4
Lattice="-0.294 -4.281 -1.909 1.074 -3.293 3.172 -2.964 3.642 0.089" Properties=species:S:1:pos:R:3 pbc="T T T"
Zn 0.000 0.000 0.000
Zn -0.750 -1.719 1.946
P 0.390 -3.787 0.632
Ru -1.434 -2.213 -0.594
```

- space group = No. 119
- uncorrected energy (eV for the cell shown) = -17.10
- crystal system = tetragonal
- D(E_F) (states/eV/cell) = 3.67
- formation enthalpy at 0 K (meV/atom) = 33

=====

Computed, not measured: crystalline Pr3MgSb4 at its relaxed geometry at the PBE-GGA level of DFT.

Geometry as extended XYZ:
```
8
Lattice="-1.844 4.179 -4.474 -5.109 -3.625 -1.281 -3.373 3.206 4.384" Properties=species:S:1:pos:R:3 pbc="T T T"
Pr -4.241 -0.210 1.552
Pr -2.609 3.692 -0.045
Pr -3.476 0.277 -2.877
Sb -0.922 2.089 -2.237
Sb -2.554 -1.812 -0.640
Sb -1.687 1.603 2.192
Sb -5.163 1.880 -0.685
Mg 0.000 0.000 0.000
```

- space group = No. 221
- uncorrected energy (eV for the cell shown) = -39.20
- crystal system = cubic
- formation energy from raw total energies (kJ/mol of atoms) = -81.8
- D(E_F) (states/eV/cell) = 4.29

=====

Computed, not measured: crystalline Zr2Ni5Ge3H2 at its relaxed geometry at the PBE-GGA level of DFT.

Geometry as extended XYZ:
```
12
Lattice="3.762 0.000 0.000 0.000 3.762 0.000 -1.881 -1.881 10.289" Properties=species:S:1:pos:R:3 pbc="T T T"
Zr 1.881 1.881 4.053
Zr 0.000 0.000 6.236
Ni 1.881 0.000 1.764
Ni 0.000 1.881 8.525
Ni 0.000 1.881 1.764
Ni 1.881 0.000 8.525
Ni 1.881 1.881 0.000
Ge 0.000 0.000 3.427
Ge 1.881 1.881 6.862
Ge 0.000 0.000 0.000
H 0.000 0.000 8.578
H 1.881 1.881 1.711
```

- space group = No. 139
- uncorrected energy (eV for the cell shown) = -72.27
- crystal system = tetragonal
- D(E_F) (states/eV/cell) = 5.88

=====

Computed, not measured: crystalline FeH at its relaxed geometry at the PBE-GGA level of DFT.

Geometry as extended XYZ:
```
16
Lattice="7.261 0.000 0.000 0.000 7.261 0.000 0.000 0.000 2.597" Properties=species:S:1:pos:R:3 pbc="T T T"
Fe 2.703 1.184 0.000
Fe 4.559 6.077 0.000
Fe 6.077 2.703 0.000
Fe 1.184 4.559 0.000
Fe 6.333 4.815 1.299
Fe 0.928 2.447 1.299
Fe 2.447 6.333 1.299
Fe 4.815 0.928 1.299
H 2.886 5.242 0.000
H 4.376 2.020 0.000
H 2.020 2.886 0.000
H 5.242 4.376 0.000
H 6.516 1.611 1.299
H 0.745 5.650 1.299
H 5.650 6.516 1.299
H 1.611 0.745 1.299
```

- space group = No. 87
- uncorrected energy (eV for the cell shown) = -92.40
- crystal system = tetragonal
- D(E_F) (states/eV/cell) = 8.95